RbMg3Al | PBE-GGA | optimized geometry

a = 6.3976 Å, b = 6.3976 Å, c = 6.3976 Å
α = 90.00°, β = 90.00°, γ = 90.00°
Space group Pm-3m (No. 221)
One atom of each set of equivalent atoms:
Rb: 0.0000 0.0000 0.0000 (multiplicity 1)
Mg: 0.0000 0.0000 0.5000 (multiplicity 3)
Al: 0.5000 0.5000 0.5000 (multiplicity 1)

Calculated values
The total magnetization comes out at 0.00 μB per cell. For the density of states at the Fermi level, the calculation gives 1.356 states/eV/atom. The total DFT energy (no corrections) comes out at -0.60 eV per atom. As for the polymorph energy (0 for the lowest one): 995 meV per atom. Its energy of formation is 1.298 eV/atom.